Arrangement P

## ScNiCl2 (PBEsol)

Data for a relaxed ScNiCl2 crystal.

Geometry as POSCAR:
```
ScNiCl2
1.0
-0.7008 3.3999 0.6503
-3.2717 -0.4339 -1.2573
0.3807 -2.6928 4.8989
Sc Cl Ni
1 2 1
Direct
0.2500 0.7500 0.5000 Sc
0.0000 0.0000 0.0000 Cl
0.7500 0.2500 0.5000 Cl
0.5000 0.5000 0.0000 Ni
```

- D(E_F): 2.59 states/eV per cell
- Crystal system: tetragonal
- Spin magnetization: 0.000 μB per atom

=====

Arrangement Q

## ScNiCl2 (PBEsol)

Data for a relaxed ScNiCl2 crystal.

Geometry as POSCAR:
```
ScNiCl2
1.0
3.3692 0.0000 0.0000
0.0000 4.1037 0.0229
-1.6846 -0.2255 6.0921
Cl Sc Ni
2 1 1
Direct
0.3559 0.2745 0.7119 Cl
0.6441 0.7255 0.2881 Cl
0.0000 0.5000 0.0000 Sc
0.5000 0.0000 0.0000 Ni
```

- D(E_F): 2.25 states/eV per cell
- Crystal system: monoclinic
- Spin magnetization: 0.000 μB per atom

=====

The structure shown above that is least stable: arrangement P.